The following is a DFT calculation (PBE-GGA) of an optimized crystal structure of NaLuOsW.

relative energy among the computed polymorphs: 0 meV per atom
calculated total energy: -7.01 eV/atom
space-group type: No. 216

CIF file:
```
data_NaLuOsW
_cell_length_a 6.588
_cell_length_b 6.588
_cell_length_c 6.588
_cell_angle_alpha 90.00
_cell_angle_beta 90.00
_cell_angle_gamma 90.00
_symmetry_space_group_name_H-M 'P 1'
_symmetry_Int_Tables_number 1
loop_
_symmetry_equiv_pos_as_xyz
'x,y,z'
loop_
_atom_site_label
_atom_site_type_symbol
_atom_site_fract_x
_atom_site_fract_y
_atom_site_fract_z
Na1 Na 0.000 0.000 0.000
Na2 Na 0.000 0.500 0.500
Na3 Na 0.500 0.000 0.500
Na4 Na 0.500 0.500 0.000
Lu1 Lu 0.250 0.250 0.750
Lu2 Lu 0.250 0.750 0.250
Lu3 Lu 0.750 0.250 0.250
Lu4 Lu 0.750 0.750 0.750
Os1 Os 0.000 0.000 0.500
Os2 Os 0.000 0.500 0.000
Os3 Os 0.500 0.000 0.000
Os4 Os 0.500 0.500 0.500
W1 W 0.250 0.250 0.250
W2 W 0.250 0.750 0.750
W3 W 0.750 0.250 0.750
W4 W 0.750 0.750 0.250
```